First-principles (GGA-PBE) data for crystalline TiAsPS2 at its relaxed geometry, as listed in Alexandria.

a b c (Å): 4.6511 4.6511 4.6554
angles (deg): 90.00 90.00 90.00
Last column: nearest neighbours and their distance in Å.
Space group P4/mmm (No. 123)
Unique sites:
Ti (0.0000, 0.0000, 0.0000) x1  4 P 3.29, 8 S 3.29
As (0.5000, 0.5000, 0.5000) x1  4 S 2.33, 2 P 2.33
P (0.5000, 0.5000, 0.0000) x1  2 As 2.33
S (0.0000, 0.5000, 0.5000) x2  2 As 2.33

- Distance to the lowest polymorph of the same formula: 428 meV per atom
- Uncorrected formation energy: 0.58 eV per atom

First-principles (GGA-PBE) data for crystalline TiAsPS2 at its relaxed geometry, as listed in Alexandria.

a b c (Å): 4.5681 4.5681 4.9864
angles (deg): 90.00 90.00 90.00
Last column: nearest neighbours and their distance in Å.
Space group P4/mmm (No. 123)
Unique sites:
Ti (0.0000, 0.0000, 0.0000) x1  4 S 2.28, 2 P 2.49
As (0.5000, 0.5000, 0.5000) x1  4 P 3.23, 8 S 3.38
P (0.0000, 0.0000, 0.5000) x1  2 Ti 2.49
S (0.0000, 0.5000, 0.0000) x2  2 Ti 2.28

- Distance to the lowest polymorph of the same formula: 0 meV per atom
- Uncorrected formation energy: 0.15 eV per atom

First-principles (GGA-PBE) data for crystalline TiAsP2S at its relaxed geometry, as listed in Alexandria.

a b c (Å): 4.6223 4.6223 4.7145
angles (deg): 90.00 90.00 90.00
Last column: nearest neighbours and their distance in Å.
Space group P4/mmm (No. 123)
Unique sites:
Ti (0.0000, 0.0000, 0.0000) x1  4 S 3.27, 8 P 3.30
As (0.5000, 0.5000, 0.5000) x1  4 P 2.31, 2 S 2.36
P (0.0000, 0.5000, 0.5000) x2  2 As 2.31
S (0.5000, 0.5000, 0.0000) x1  2 As 2.36

- Distance to the lowest polymorph of the same formula: 367 meV per atom
- Uncorrected formation energy: 0.71 eV per atom